DFT (PBE) results for a relaxed structure of Tb6Y3Tm.

Lattice parameters (Å, degrees): 9.3949 15.4396 8.9085 90.00 90.00 90.00
Last column: nearest neighbours and their distance in Å.
Space group Cmc2_1 (No. 36)
Symmetry-distinct sites (fractional):
1 Tb 0.0000 0.0527 0.0000 (multiplicity 4)  7 Tb 3.34-3.66, 1 Tm 3.42
2 Tb 0.0000 0.2804 0.1143 (multiplicity 4)  1 Tm 3.38, 3 Y 3.39-3.40, 3 Tb 3.49-3.66
3 Tb 0.1748 0.3539 0.5129 (multiplicity 8)  4 Tb 3.28-3.62, 1 Tm 3.37, 2 Y 3.39-3.44
4 Tb 0.2461 0.0600 0.6869 (multiplicity 8)  5 Tb 3.28-3.63, 3 Y 3.29-3.64, 1 Tm 3.43
5 Y 0.0000 0.4496 0.8714 (multiplicity 4)  7 Tb 3.36-3.69, 2 Y 3.41, 1 Tm 3.70
6 Y 0.1762 0.1496 0.3595 (multiplicity 8)  5 Tb 3.29-3.64, 2 Y 3.31-3.41
7 Tm 0.0000 0.2204 0.7490 (multiplicity 4)  6 Tb 3.37-3.43, 3 Y 3.70-3.78

Calculated values
Total magnetic moment = 0.00 μB per cell
Energy relative to the lowest polymorph listed for this composition = 0.000 eV per atom
Calculated formation energy = 0.131 eV/atom